Record 1
# CsMoPO6, optimized geometry, DFT PBE with a Hubbard U
# Symmetry: Fddd (70)
# Volume (A^3/atom): 16.513
# Total moment (Bohr magnetons per cell): 0.0
data_CsMoPO6
_symmetry_space_group_name_H-M 'P 1'
_symmetry_Int_Tables_number 1
_symmetry_space_group_name_Hall 'P 1'
_cell_length_a 8.5774
_cell_length_b 8.5774
_cell_length_c 9.9045
_cell_angle_alpha 111.66
_cell_angle_beta 111.66
_cell_angle_gamma 98.49
loop_
_atom_site_label
_atom_site_type_symbol
_atom_site_fract_x
_atom_site_fract_y
_atom_site_fract_z
O1 O 0.4025 0.3233 0.5922
O2 O 0.3102 0.7311 0.4078
O3 O 0.4806 0.3333 0.3742
O4 O 0.1912 0.5442 0.6109
O5 O 0.0803 0.9333 0.3891
O6 O 0.9591 0.6064 0.1258
O7 O 0.7311 0.3102 0.9078
O8 O 0.6898 0.2689 0.5922
O9 O 0.4558 0.8088 0.8891
O10 O 0.5975 0.6767 0.4078
O11 O 0.6064 0.9591 0.6258
O12 O 0.6667 0.5194 0.1258
O13 O 0.0667 0.9197 0.1109
O14 O 0.3333 0.4806 0.8742
O15 O 0.2689 0.6898 0.0922
O16 O 0.0409 0.3936 0.8742
O17 O 0.5442 0.1912 0.1109
O18 O 0.9197 0.0667 0.6109
O19 O 0.3936 0.0409 0.3742
O20 O 0.6767 0.5975 0.9078
O21 O 0.9333 0.0803 0.8891
O22 O 0.5194 0.6667 0.6258
O23 O 0.8088 0.4558 0.3891
O24 O 0.3233 0.4025 0.0922
Mo1 Mo 0.4087 0.5913 0.7500
Mo2 Mo 0.5913 0.4087 0.2500
Mo3 Mo 0.1587 0.8413 0.2500
Mo4 Mo 0.8413 0.1587 0.7500
Cs1 Cs 0.0677 0.3177 0.2500
Cs2 Cs 0.3177 0.0677 0.7500
Cs3 Cs 0.6823 0.9323 0.2500
Cs4 Cs 0.9323 0.6823 0.7500
P1 P 0.5052 0.7552 0.5104
P2 P 0.4948 0.2448 0.4896
P3 P 0.2448 0.4948 0.9896
P4 P 0.7552 0.5052 0.0104

=====

Record 2
# UIn2NiO8, optimized geometry, DFT PBE with a Hubbard U
# Symmetry: C2/m (12)
# Volume (A^3/atom): 13.120
# Total moment (Bohr magnetons per cell): 2.0
data_UIn2NiO8
_symmetry_space_group_name_H-M 'P 1'
_symmetry_Int_Tables_number 1
_symmetry_space_group_name_Hall 'P 1'
_cell_length_a 4.9083
_cell_length_b 4.9059
_cell_length_c 6.5691
_cell_angle_alpha 93.76
_cell_angle_beta 86.25
_cell_angle_gamma 91.95
loop_
_atom_site_label
_atom_site_type_symbol
_atom_site_fract_x
_atom_site_fract_y
_atom_site_fract_z
Ni1 Ni 0.0000 0.0000 0.5000
O1 O 0.1970 0.8019 0.7638
O2 O 0.2833 0.2823 0.4999
O3 O 0.1739 0.8250 0.2650
O4 O 0.3041 0.3028 0.0000
O5 O 0.8030 0.1981 0.2362
O6 O 0.8261 0.1750 0.7350
O7 O 0.7167 0.7177 0.5001
O8 O 0.6959 0.6972 0.0000
U1 U 0.0000 0.0000 0.0000
In1 In 0.4827 0.5173 0.2614
In2 In 0.5173 0.4827 0.7386

=====

| no. | total energy (eV per atom) |
| --- | --- |
| 1 | -6.7720 |
| 2 | -6.6028 |